1.
Density functional theory data (GGA-PBE) for a geometry-optimized YTaSb2Os structure.

a = 5.3094 Å, b = 5.3094 Å, c = 4.7991 Å
α = 90.00°, β = 90.00°, γ = 90.00°
Last column: nearest neighbours and their distance in Å.
Atoms (fractional coordinates):
1 Y 0.0000 0.0000 0.0000  8 Sb 3.58, 4 Os 3.75
2 Ta 0.5000 0.5000 0.5000  2 Os 2.40, 4 Sb 2.65
3 Sb 0.0000 0.5000 0.5000  2 Ta 2.65
4 Sb 0.5000 0.0000 0.5000  2 Ta 2.65
5 Os 0.5000 0.5000 0.0000  2 Ta 2.40

Output
* symmetry: No. 123
* ρ: 8636 kg/m³
* energy: -6.937 eV/atom
* ΔE_f (raw): 0.62 eV/atom


2.
Density functional theory data (GGA-PBE) for a geometry-optimized Tb12Sb6Os structure.

a = 8.5866 Å, b = 8.5866 Å, c = 8.5866 Å
α = 99.55°, β = 99.55°, γ = 99.55°
Last column: nearest neighbours and their distance in Å.
Atoms (fractional coordinates):
1 Tb 0.0107 0.9413 0.6858  1 Os 2.68
2 Tb 0.0587 0.3142 0.9893  1 Os 2.68
3 Tb 0.1963 0.5499 0.4169  4 Sb 3.07-3.26
4 Tb 0.3142 0.9893 0.0587  1 Os 2.68
5 Tb 0.4169 0.1963 0.5499  4 Sb 3.07-3.26
6 Tb 0.4501 0.5831 0.8037  4 Sb 3.07-3.26
7 Tb 0.5499 0.4169 0.1963  4 Sb 3.07-3.26
8 Tb 0.5831 0.8037 0.4501  4 Sb 3.07-3.26
9 Tb 0.6858 0.0107 0.9413  1 Os 2.68
10 Tb 0.8037 0.4501 0.5831  4 Sb 3.07-3.26
11 Tb 0.9413 0.6858 0.0107  1 Os 2.68
12 Tb 0.9893 0.0587 0.3142  1 Os 2.68
13 Sb 0.1211 0.3155 0.6447  7 Tb 3.07-3.29
14 Sb 0.3155 0.6447 0.1211  7 Tb 3.07-3.29
15 Sb 0.3553 0.8789 0.6845  7 Tb 3.07-3.29
16 Sb 0.6447 0.1211 0.3155  7 Tb 3.07-3.29
17 Sb 0.6845 0.3553 0.8789  7 Tb 3.07-3.29
18 Sb 0.8789 0.6845 0.3553  7 Tb 3.07-3.29
19 Os 0.0000 0.0000 0.0000  6 Tb 2.68

Output
* symmetry: No. 148
* ρ: 7783 kg/m³
* energy: -5.452 eV/atom
* ΔE_f (raw): -0.63 eV/atom


3.
Density functional theory data (GGA-PBE) for a geometry-optimized Tb8Sb2Os structure.

a = 9.9785 Å, b = 9.9785 Å, c = 6.7320 Å
α = 104.87°, β = 104.87°, γ = 28.76°
Last column: nearest neighbours and their distance in Å.
Atoms (fractional coordinates):
1 Tb 0.0194 0.0194 0.2885  2 Os 2.93, 1 Tb 3.13, 1 Sb 3.18
2 Tb 0.2194 0.2194 0.8253  3 Sb 3.18-3.28, 4 Tb 3.34-3.41
3 Tb 0.3544 0.3544 0.4941  1 Os 2.81
4 Tb 0.4102 0.4102 0.0409  1 Os 3.12, 2 Sb 3.37, 2 Tb 3.39
5 Tb 0.5898 0.5898 0.9591  1 Os 3.12, 2 Sb 3.37, 2 Tb 3.39
6 Tb 0.6456 0.6456 0.5059  1 Os 2.81
7 Tb 0.7806 0.7806 0.1747  3 Sb 3.18-3.28, 4 Tb 3.34-3.41
8 Tb 0.9806 0.9806 0.7115  2 Os 2.93, 1 Tb 3.13, 1 Sb 3.18
9 Sb 0.1806 0.1806 0.2558  9 Tb 3.17-3.37
10 Sb 0.8194 0.8194 0.7442  9 Tb 3.17-3.37
11 Os 0.5000 0.5000 0.5000  8 Tb 2.81-3.12

Output
* symmetry: No. 12
* ρ: 9104 kg/m³
* energy: -5.572 eV/atom
* ΔE_f (raw): -0.43 eV/atom


Question: Among the records above, which one has the highest energy?
Answer: Tb12Sb6Os


Question: Which formula does entry 3 have?
Answer: Tb8Sb2Os


Question: Which of these has the highest ρ?
Answer: Tb8Sb2Os